# YCuBi

A relaxed structure of YCuBi (PBE, Alexandria via LeMat-Bulk).

abc: 6.0904 6.0904 7.7272
angles: 128.44 128.44 42.97
Positions (direct):
1 Y 0.0000 0.0000 0.0000
2 Y 0.5126 0.5126 0.4915
3 Cu 0.3321 0.3321 0.6517
4 Cu 0.6365 0.6365 0.9528
5 Bi 0.2593 0.2593 0.9221
6 Bi 0.7604 0.7604 0.4016

Output
- Total magnetization: 0.0000 μB/atom
- DOS(E_F): 0.77 states/eV/f.u.
- Formation energy from the elements: -0.4645 eV per atom